Computed, not measured: an optimized crystal structure of YBeSbOs at the PBE level of DFT.

Properties
E above lowest polymorph = 0.000 eV per atom
Total DFT energy (no corrections) = -6.32 eV/atom

Structure (CIF):
```
data_YBeSbOs
_chemical_formula_sum 'Y4 Be4 Sb4 Os4'
_cell_length_a 6.568
_cell_length_b 6.568
_cell_length_c 6.568
_cell_angle_alpha 90.00
_cell_angle_beta 90.00
_cell_angle_gamma 90.00
_symmetry_space_group_name_H-M 'F -4 3 m'
_symmetry_Int_Tables_number 216
_symmetry_space_group_name_Hall 'F -4 2 3'
loop_
_atom_site_label
_atom_site_fract_x
_atom_site_fract_y
_atom_site_fract_z
Y1 0.000 0.000 0.000
Be1 0.250 0.250 0.750
Sb1 0.250 0.250 0.250
Os1 0.000 0.000 0.500
```

=====

Computed, not measured: an optimized crystal structure of RbNbF3 at the PBE level of DFT.

Properties
E above lowest polymorph = 0.038 eV per atom
Total DFT energy (no corrections) = -5.50 eV/atom

Structure (CIF):
```
data_RbNbF3
_chemical_formula_sum 'Rb6 Nb6 F18'
_cell_length_a 6.1755
_cell_length_b 6.1755
_cell_length_c 16.3197
_cell_angle_alpha 90.00
_cell_angle_beta 90.00
_cell_angle_gamma 120.00
_symmetry_space_group_name_H-M 'R -3'
_symmetry_Int_Tables_number 148
_symmetry_space_group_name_Hall '-R 3'
loop_
_atom_site_label
_atom_site_fract_x
_atom_site_fract_y
_atom_site_fract_z
Rb1 0.0000 0.0000 0.1406
Nb1 0.0000 0.0000 0.3483
F1 0.0131 0.3088 0.2755
```

=====

Computed, not measured: an optimized crystal structure of HfAl2N at the PBE level of DFT.

Properties
Total DFT energy (no corrections) = -6.89 eV/atom

Structure (CIF):
```
data_HfAl2N
_chemical_formula_sum 'Hf2 Al4 N2'
_cell_length_a 2.9498
_cell_length_b 2.9498
_cell_length_c 14.7872
_cell_angle_alpha 90.00
_cell_angle_beta 90.00
_cell_angle_gamma 120.00
_symmetry_space_group_name_H-M 'P 63/m m c'
_symmetry_Int_Tables_number 194
_symmetry_space_group_name_Hall '-P 6c 2c'
loop_
_atom_site_label
_atom_site_fract_x
_atom_site_fract_y
_atom_site_fract_z
Hf1 0.3333 0.6667 0.2500
Al1 0.3333 0.6667 0.5806
N1 0.0000 0.0000 0.0000
```

=====

Computed, not measured: an optimized crystal structure of NaZn2 at the PBE level of DFT.

Properties
Total DFT energy (no corrections) = -1.28 eV/atom

Structure (CIF):
```
data_NaZn2
_chemical_formula_sum 'Na4 Zn8'
_cell_length_a 4.472
_cell_length_b 7.177
_cell_length_c 7.527
_cell_angle_alpha 90.00
_cell_angle_beta 90.00
_cell_angle_gamma 90.00
_symmetry_space_group_name_H-M 'I m m a'
_symmetry_Int_Tables_number 74
_symmetry_space_group_name_Hall '-I 2b 2'
loop_
_atom_site_label
_atom_site_fract_x
_atom_site_fract_y
_atom_site_fract_z
Na1 0.000 0.250 0.064
Zn1 0.000 0.067 0.661
```